# Hg4Sb2I

A geometry-optimized Hg4Sb2I structure (PBE, Alexandria via LeMat-Bulk).

Lattice parameters (Å, degrees): 4.460 13.265 14.958 90.00 90.00 90.00
Element x y z (fractional)
Hg1 0.748 0.135 0.506
Hg2 0.252 0.865 0.494
Hg3 0.748 0.000 0.750
Hg4 0.252 0.135 0.006
Hg5 0.252 0.365 0.006
Hg6 0.249 0.750 0.811
Hg7 0.748 0.865 0.994
Hg8 0.751 0.750 0.311
Hg9 0.748 0.500 0.750
Hg10 0.252 0.000 0.250
Hg11 0.748 0.365 0.506
Hg12 0.751 0.250 0.189
Hg13 0.249 0.250 0.689
Hg14 0.252 0.500 0.250
Hg15 0.748 0.635 0.994
Hg16 0.252 0.635 0.494
Sb1 0.248 0.453 0.634
Sb2 0.248 0.953 0.866
Sb3 0.752 0.953 0.366
Sb4 0.248 0.547 0.866
Sb5 0.752 0.547 0.366
Sb6 0.248 0.047 0.634
Sb7 0.752 0.047 0.134
Sb8 0.752 0.453 0.134
I1 0.750 0.250 0.851
I2 0.750 0.750 0.649
I3 0.250 0.250 0.351
I4 0.250 0.750 0.149

Properties
Its total magnetization is 0.00 μB per formula unit. The final energy is -1.560 eV per atom. For the raw formation energy, the calculation gives 0.01 eV per atom. For the density of states at the Fermi level, the calculation gives 0.2658 states/eV per atom.

# Zn2Ag12Au5

A geometry-optimized Zn2Ag12Au5 structure (PBE, Alexandria via LeMat-Bulk).

Lattice parameters (Å, degrees): 7.873 7.464 6.908 91.46 90.00 121.83
Element x y z (fractional)
Zn1 0.687 0.000 0.000
Zn2 0.313 0.000 0.000
Ag1 0.912 0.823 0.112
Ag2 0.029 0.692 0.762
Ag3 0.663 0.692 0.762
Ag4 0.178 0.753 0.343
Ag5 0.576 0.753 0.343
Ag6 0.444 0.889 0.678
Ag7 0.556 0.111 0.322
Ag8 0.822 0.247 0.657
Ag9 0.424 0.247 0.657
Ag10 0.971 0.308 0.238
Ag11 0.337 0.308 0.238
Ag12 0.088 0.177 0.888
Au1 0.232 0.464 0.578
Au2 0.312 0.623 0.005
Au3 0.000 0.000 0.500
Au4 0.688 0.377 0.995
Au5 0.768 0.536 0.422

Properties
Its total magnetization is 0.00 μB per formula unit. The value obtained for the formation energy from the elements is 0.0174 eV per atom. The final energy is -2.780 eV per atom. For the density of states at the Fermi level, the calculation gives 0.3275 states/eV per atom.

# MgZnMo

A geometry-optimized MgZnMo structure (PBE, Alexandria via LeMat-Bulk).

Lattice parameters (Å, degrees): 2.867 2.867 7.042 90.00 90.00 120.00
Element x y z (fractional)
Mg1 0.000 0.000 0.000
Mo1 0.667 0.333 0.341
Zn1 0.333 0.667 0.659

Properties
Its total magnetization is 0.00 μB per formula unit. The value obtained for the formation energy from the elements is 0.2457 eV per atom. The final energy is -4.321 eV per atom. For the density of states at the Fermi level, the calculation gives 0.4957 states/eV per atom.

# Ti2AlH

A geometry-optimized Ti2AlH structure (PBE, Alexandria via LeMat-Bulk).

Lattice parameters (Å, degrees): 4.384 4.384 3.213 90.00 90.00 120.00
Site moments in Bohr magnetons follow the coordinates.
Element x y z (fractional)
Ti1 0.333 0.667 0.000  0.30
Ti2 0.667 0.333 0.000  0.30
Al1 0.000 0.000 0.500  -0.01
H1 0.000 0.000 0.000  0.00

Properties
Its total magnetization is 0.66 μB per formula unit. The final energy is -5.398 eV per atom. For the density of states at the Fermi level, the calculation gives 0.8793 states/eV per atom.

# NpZn4Pt2

A geometry-optimized NpZn4Pt2 structure (PBE, Alexandria via LeMat-Bulk).

Lattice parameters (Å, degrees): 4.303 7.504 7.504 90.00 90.00 90.00
Site moments in Bohr magnetons follow the coordinates.
Element x y z (fractional)
Np1 0.500 0.000 0.000  3.90
Np2 0.000 0.500 0.500  3.90
Zn1 0.000 0.097 0.351  0.00
Zn2 0.000 0.903 0.649  0.00
Zn3 0.500 0.149 0.597  0.00
Zn4 0.500 0.851 0.403  0.00
Zn5 0.500 0.403 0.851  0.00
Zn6 0.500 0.597 0.149  0.00
Zn7 0.000 0.351 0.097  0.00
Zn8 0.000 0.649 0.903  0.00
Pt1 0.000 0.219 0.781  -0.04
Pt2 0.000 0.781 0.219  -0.04
Pt3 0.500 0.719 0.719  -0.04
Pt4 0.500 0.281 0.281  -0.04

Properties
Its total magnetization is 4.12 μB per formula unit. The value obtained for the formation energy from the elements is -0.4236 eV per atom. The final energy is -4.726 eV per atom. For the density of states at the Fermi level, the calculation gives 1.3126 states/eV per atom.

# Ac3MgHg3

A geometry-optimized Ac3MgHg3 structure (PBE, Alexandria via LeMat-Bulk).

Lattice parameters (Å, degrees): 7.401 7.401 9.000 94.30 94.30 108.54
Element x y z (fractional)
Ac1 0.621 0.621 0.334
Ac2 0.183 0.817 0.500
Ac3 0.817 0.183 0.500
Ac4 0.245 0.755 0.000
Ac5 0.755 0.245 0.000
Ac6 0.379 0.379 0.666
Mg1 0.726 0.726 0.964
Mg2 0.274 0.274 0.036
Hg1 0.977 0.977 0.206
Hg2 0.869 0.567 0.719
Hg3 0.567 0.869 0.719
Hg4 0.131 0.433 0.281
Hg5 0.433 0.131 0.281
Hg6 0.023 0.023 0.794

Properties
Its total magnetization is 0.00 μB per formula unit. The value obtained for the formation energy from the elements is -0.3277 eV per atom. The final energy is -2.446 eV per atom. For the density of states at the Fermi level, the calculation gives 1.0607 states/eV per atom.

# CePm7Er4

A geometry-optimized CePm7Er4 structure (PBE, Alexandria via LeMat-Bulk).

Lattice parameters (Å, degrees): 7.242 9.591 8.928 81.10 89.96 40.95
Site moments in Bohr magnetons follow the coordinates.
Element x y z (fractional)
Ce1 0.000 0.000 0.000  -0.76
Pm1 0.750 0.500 0.001  -0.01
Pm2 0.250 0.500 0.999  -0.01
Pm3 0.971 0.278 0.666  -0.01
Pm4 0.029 0.722 0.334  -0.01
Pm5 0.220 0.780 0.668  0.00
Pm6 0.500 0.000 0.000  -0.01
Pm7 0.780 0.220 0.332  0.00
Er1 0.528 0.724 0.332  -0.01
Er2 0.472 0.276 0.668  -0.01
Er3 0.719 0.781 0.663  0.02
Er4 0.281 0.219 0.337  0.02

Properties
Its total magnetization is 1.02 μB per formula unit. The value obtained for the formation energy from the elements is 0.0220 eV per atom. The final energy is -4.765 eV per atom. For the density of states at the Fermi level, the calculation gives 1.6454 states/eV per atom.

# TmZrAlOs

A geometry-optimized TmZrAlOs structure (PBE, Alexandria via LeMat-Bulk).

Lattice parameters (Å, degrees): 4.791 4.791 4.791 60.00 60.00 60.00
Element x y z (fractional)
Tm1 0.000 0.000 0.000
Os1 0.250 0.250 0.250
Al1 0.750 0.750 0.750
Zr1 0.500 0.500 0.500

Properties
Its total magnetization is 0.00 μB per formula unit. The value obtained for the formation energy from the elements is -0.3476 eV per atom. The final energy is -7.346 eV per atom. For the density of states at the Fermi level, the calculation gives 0.2128 states/eV per atom.

Copy entry 6 word for word.
# Ac3MgHg3

A geometry-optimized Ac3MgHg3 structure (PBE, Alexandria via LeMat-Bulk).

Lattice parameters (Å, degrees): 7.401 7.401 9.000 94.30 94.30 108.54
Element x y z (fractional)
Ac1 0.621 0.621 0.334
Ac2 0.183 0.817 0.500
Ac3 0.817 0.183 0.500
Ac4 0.245 0.755 0.000
Ac5 0.755 0.245 0.000
Ac6 0.379 0.379 0.666
Mg1 0.726 0.726 0.964
Mg2 0.274 0.274 0.036
Hg1 0.977 0.977 0.206
Hg2 0.869 0.567 0.719
Hg3 0.567 0.869 0.719
Hg4 0.131 0.433 0.281
Hg5 0.433 0.131 0.281
Hg6 0.023 0.023 0.794

Properties
Its total magnetization is 0.00 μB per formula unit. The value obtained for the formation energy from the elements is -0.3277 eV per atom. The final energy is -2.446 eV per atom. For the density of states at the Fermi level, the calculation gives 1.0607 states/eV per atom.

> What is the total magnetization in the sixth record?

0.00 μB per formula unit